Compound: Rb2InSnBr5
Source: Alexandria via LeMat-Bulk
Functional: GGA-PBE
Structure: relaxed

a b c (Å): 4.6079 19.9740 15.9686
angles (deg): 90.00 90.00 90.00
Last column: nearest neighbours and their distance in Å.
Space group Cmc2_1 (No. 36)
One atom of each set of equivalent atoms:
1 Rb 0.0000 0.0790 0.0000 x4  6 Br 3.39-3.57
2 Rb 0.0000 0.1346 0.6490 x4  8 Br 3.51-3.87
3 In 0.0000 0.4528 0.7994 x4  5 Br 3.11-3.39
4 Sn 0.0000 0.2340 0.3865 x4  6 Br 2.94-3.10
5 Br 0.0000 0.0906 0.4284 x4  1 Sn 2.94, 2 In 3.21
6 Br 0.0000 0.2523 0.0155 x4  2 Sn 3.10, 1 Rb 3.47
7 Br 0.0000 0.2887 0.7639 x4  2 Sn 3.06, 1 In 3.33
8 Br 0.0000 0.3808 0.3396 x4  1 Sn 3.03, 1 In 3.39
9 Br 0.0000 0.4954 0.1159 x4  1 In 3.11, 2 Rb 3.39

Computed properties:
Formation energy (no corrections) in eV per atom: -1.163
Uncorrected energy in eV per atom: -3.06

***

Compound: CsPrCdCl6
Source: Alexandria via LeMat-Bulk
Functional: GGA-PBE
Structure: relaxed

a b c (Å): 9.6331 10.1978 14.3039
angles (deg): 90.00 90.00 90.00
Last column: nearest neighbours and their distance in Å.
Space group Imma (No. 74)
One atom of each set of equivalent atoms:
1 Cs 0.0000 0.2500 0.0479 x4  1 Cl 3.43
2 Pr 0.0000 0.0000 0.5000 x4  6 Cl 2.76-2.80
3 Cd 0.2500 0.2500 0.7500 x4  6 Cl 2.55-2.71
4 Cl 0.0000 0.2500 0.4197 x4  2 Pr 2.80
5 Cl 0.0000 0.2500 0.8082 x4  2 Cd 2.55
6 Cl 0.2169 0.0603 0.6188 x16  1 Cd 2.71, 1 Pr 2.76

Computed properties:
Formation energy (no corrections) in eV per atom: -1.790
Uncorrected energy in eV per atom: -3.75

***

Compound: CsIn10Ga2
Source: Alexandria via LeMat-Bulk
Functional: GGA-PBE
Structure: relaxed

a b c (Å): 6.2804 15.0425 15.5828
angles (deg): 90.00 90.00 90.00
Last column: nearest neighbours and their distance in Å.
Space group Fmmm (No. 69)
One atom of each set of equivalent atoms:
1 Cs 0.0000 0.0000 0.0000 x4  16 In 3.86-4.08, 4 Ga 4.20
2 In 0.0000 0.1073 0.3841 x16  2 Ga 3.07, 4 In 3.22-3.30
3 In 0.0000 0.1732 0.1824 x16  7 In 3.13-3.46, 2 Ga 3.22
4 In 0.2500 0.2500 0.0000 x8  10 In 3.14-3.45
5 Ga 0.2500 0.0000 0.2500 x8  8 In 3.07-3.22, 2 Ga 3.14

Computed properties:
E_form in eV/atom: -0.012
Uncorrected energy in eV per atom: -2.65

***

Compound: Mg6CuSe6
Source: Alexandria via LeMat-Bulk
Functional: GGA-PBE
Structure: relaxed

a b c (Å): 7.5724 10.1190 7.7824
angles (deg): 90.00 90.00 90.00
Last column: nearest neighbours and their distance in Å.
Space group Cmmm (No. 65)
One atom of each set of equivalent atoms:
1 Mg 0.0000 0.0000 0.1825 x4  1 Cu 2.47
2 Mg 0.0000 0.2877 0.5000 x4  6 Se 2.77-2.85, 1 Cu 2.91
3 Mg 0.0000 0.3189 0.0000 x4  6 Se 2.72-2.77
4 Cu 0.0000 0.0000 0.5000 x2  2 Mg 2.47
5 Se 0.0000 0.5000 0.2589 x4  4 Mg 2.72-2.85
6 Se 0.2500 0.2500 0.2442 x8  4 Mg 2.77

Computed properties:
Energy relative to the lowest polymorph listed for this composition in kJ per mole of atoms: 33.7
Formation energy (no corrections) in eV per atom: -0.431
Uncorrected energy in eV per atom: -3.09

***

Compound: LaZnPt3
Source: Alexandria via LeMat-Bulk
Functional: GGA-PBE
Structure: relaxed

a b c (Å): 5.2464 5.2464 5.2464
angles (deg): 90.00 90.00 90.00
Last column: nearest neighbours and their distance in Å.
Space group Pm-3m (No. 221)
One atom of each set of equivalent atoms:
1 La 0.0000 0.0000 0.0000 x1  6 Pt 2.62
2 Zn 0.5000 0.5000 0.5000 x1  12 Pt 3.71
3 Pt 0.0000 0.0000 0.5000 x3  2 La 2.62

Computed properties:
Energy relative to the lowest polymorph listed for this composition in kJ per mole of atoms: 136.2
E_form in eV/atom: 0.943
Uncorrected energy in eV per atom: -3.92

***

Compound: AcPAu2
Source: Alexandria via LeMat-Bulk
Functional: GGA-PBE
Structure: relaxed

a b c (Å): 4.3022 4.3022 5.1772
angles (deg): 90.00 90.00 90.00
Last column: nearest neighbours and their distance in Å.
Space group P4/mmm (No. 123)
One atom of each set of equivalent atoms:
1 Ac 0.0000 0.0000 0.0000 x1  4 P 3.04, 8 Au 3.37
2 P 0.5000 0.5000 0.0000 x1  4 Ac 3.04, 8 Au 3.37
3 Au 0.0000 0.5000 0.5000 x2  4 Au 3.04, 4 Ac 3.37, 4 P 3.37

Computed properties:
E_form in eV/atom: -0.459
Uncorrected energy in eV per atom: -4.48

***

Compound: Ba2NdCu2Se4
Source: Alexandria via LeMat-Bulk
Functional: GGA-PBE
Structure: relaxed

a b c (Å): 15.6446 4.1910 7.7004
angles (deg): 90.00 110.38 90.00
Last column: nearest neighbours and their distance in Å.
Space group C2/m (No. 12)
One atom of each set of equivalent atoms:
1 Ba 0.1349 0.0000 0.0717 x4  7 Se 3.29-3.53, 1 Cu 3.58
2 Nd 0.0000 0.0000 0.5000 x2  6 Se 2.97-3.00
3 Cu 0.1815 0.5000 0.4915 x4  4 Se 2.51-2.63
4 Se 0.0254 0.5000 0.2481 x4  1 Cu 2.51
5 Se 0.2034 0.0000 0.6885 x4  3 Cu 2.54-2.63

Computed properties:
Formation energy (no corrections) in eV per atom: -1.289
Uncorrected energy in eV per atom: -4.71

***

Compound: CePm6S8
Source: Alexandria via LeMat-Bulk
Functional: GGA-PBE
Structure: relaxed

a b c (Å): 11.3974 11.3974 11.3974
angles (deg): 90.00 90.00 90.00
Last column: nearest neighbours and their distance in Å.
Space group Fm-3m (No. 225)
One atom of each set of equivalent atoms:
1 Ce 0.0000 0.0000 0.0000 x4  6 S 2.85
2 Pm 0.0000 0.2500 0.2500 x24  6 S 2.85
3 S 0.0000 0.0000 0.2503 x24  4 Pm 2.85, 1 Ce 2.85
4 S 0.2500 0.2500 0.2500 x8  6 Pm 2.85

Computed properties:
Formation energy (no corrections) in eV per atom: -2.034
Uncorrected energy in eV per atom: -6.53

***

Compound: ErAg2Te3
Source: Alexandria via LeMat-Bulk
Functional: GGA-PBE
Structure: relaxed

a b c (Å): 7.1309 4.2273 12.7041
angles (deg): 90.00 100.88 90.00
Last column: nearest neighbours and their distance in Å.
Space group P2_1/m (No. 11)
One atom of each set of equivalent atoms:
1 Er 0.0166 0.2500 0.2922 x2  5 Te 2.99-3.11, 3 Ag 3.24-3.28
2 Ag 0.0111 0.2500 0.9162 x2  4 Te 2.83-2.87, 2 Ag 3.03
3 Ag 0.1454 0.2500 0.5536 x2  4 Te 2.83-2.99, 2 Ag 3.09
4 Te 0.2568 0.2500 0.1230 x2  3 Ag 2.83-2.87, 1 Er 2.99
5 Te 0.2691 0.7500 0.4328 x2  3 Ag 2.85-2.99, 2 Er 3.11
6 Te 0.2861 0.2500 0.7774 x2  2 Ag 2.83-2.87, 2 Er 3.03

Computed properties:
Energy relative to the lowest polymorph listed for this composition in kJ per mole of atoms: 2.3
Formation energy (no corrections) in eV per atom: -0.549
Uncorrected energy in eV per atom: -3.83

***

Compound: Pm2AgGe3Ir4
Source: Alexandria via LeMat-Bulk
Functional: GGA-PBE
Structure: relaxed

a b c (Å): 4.1939 4.1939 10.7599
angles (deg): 90.00 90.00 90.00
Last column: nearest neighbours and their distance in Å.
Space group P-4m2 (No. 115)
One atom of each set of equivalent atoms:
1 Pm 0.0000 0.5000 0.2473 x2  8 Ir 3.17-3.39, 6 Ge 3.24-3.43, 2 Ag 3.43
2 Ag 0.0000 0.0000 0.5000 x1  4 Ir 2.64
3 Ge 0.0000 0.5000 0.8744 x2  5 Ir 2.42-2.49
4 Ge 0.5000 0.5000 0.5000 x1  4 Ir 2.64
5 Ir 0.0000 0.0000 0.0000 x1  4 Ge 2.49
6 Ir 0.0000 0.5000 0.6493 x2  3 Ge 2.42-2.64, 2 Ag 2.64
7 Ir 0.5000 0.5000 0.0000 x1  4 Ge 2.49

Computed properties:
E_form in eV/atom: -0.602
Uncorrected energy in eV per atom: -6.77

***

Compound: YCdCuNi
Source: Alexandria via LeMat-Bulk
Functional: GGA-PBE
Structure: relaxed

a b c (Å): 6.5929 6.5929 6.5929
angles (deg): 90.00 90.00 90.00
Last column: nearest neighbours and their distance in Å.
Space group F-43m (No. 216)
One atom of each set of equivalent atoms:
1 Y 0.0000 0.0000 0.0000 x4  4 Ni 2.85, 4 Cu 2.85
2 Cd 0.0000 0.0000 0.5000 x4  4 Ni 2.85, 4 Cu 2.85
3 Cu 0.2500 0.2500 0.7500 x4  4 Cd 2.85, 4 Y 2.85
4 Ni 0.2500 0.2500 0.2500 x4  4 Cd 2.85, 4 Y 2.85

Computed properties:
E_form in eV/atom: -0.201
Uncorrected energy in eV per atom: -4.52

***

Compound: U2PRu
Source: Alexandria via LeMat-Bulk
Functional: GGA-PBE
Structure: relaxed

a b c (Å): 4.4055 4.4055 14.3471
angles (deg): 90.00 90.00 120.00
Last column: nearest neighbours and their distance in Å.
Space group R-3m (No. 166, hexagonal axes)
One atom of each set of equivalent atoms:
1 U 0.0000 0.0000 0.2504 x6  3 Ru 2.81, 3 P 2.81
2 P 0.0000 0.0000 0.5000 x3  6 U 2.81
3 Ru 0.0000 0.0000 0.0000 x3  6 U 2.81

Computed properties:
Energy relative to the lowest polymorph listed for this composition in kJ per mole of atoms: 13.8
E_form in eV/atom: -0.253
Uncorrected energy in eV per atom: -9.57